Below is an optimized crystal structure of ZnAg6Au, with properties calculated at the PBE level.

Computed properties:
N(E_F)	0.438	states/eV/atom
mass density	10.76	Mg/m³
polymorph energy (0 for the lowest one)	0.000	eV/atom
energy of formation	-0.01	eV per atom
SG	No. 38

abc: 4.726 5.829 5.869
angles: 119.78 90.00 90.00
Fractional coordinates of all 8 atoms:
Ag: 0.000 0.332 0.664
Ag: 0.500 0.170 0.838
Ag: 0.500 0.668 0.838
Au: 0.000 0.828 0.655
Ag: 0.000 0.333 0.164
Ag: 0.500 0.168 0.336
Ag: 0.000 0.830 0.164
Zn: 0.500 0.671 0.341